! GGA-PBE EuPuTlBi, relaxed; values from VASP
&SYSTEM
  ibrav = 0, nat = 4, ntyp = 4
/
ATOMIC_SPECIES
Eu 151.96 Eu.upf
Pu 244.00 Pu.upf
Tl 204.38 Tl.upf
Bi 208.98 Bi.upf
ATOMIC_POSITIONS crystal
Eu 0.0000 0.0000 0.0000
Pu 0.5000 0.5000 0.5000
Tl 0.7500 0.7500 0.7500
Bi 0.2500 0.2500 0.2500
CELL_PARAMETERS angstrom
0.0000 3.9522 3.9522
3.9522 0.0000 3.9522
3.9522 3.9522 0.0000
! DOS at the Fermi energy	14.49	states/eV/f.u.
! ΔE_f	-0.298	eV per atom